No. 1
A plane-wave DFT calculation with GGA-PBE was carried out for a geometry-optimized SiTc2H2 structure.

Values from the calculation:
Crystal system: tetragonal
N(E_F): 5.4 states/eV/cell
Offset from the most stable computed form: 0 kJ/mol of formula units

abc: 5.5716 5.5716 2.9912
angles: 90.00 90.00 90.00
Space group P4/mbm (No. 127)
Unique sites:
1 Si 0.0000 0.0000 0.0000
2 Tc 0.1787 0.3213 0.5000
3 H 0.0698 0.5698 0.0000

---

No. 2
A plane-wave DFT calculation with GGA-PBE was carried out for a geometry-optimized CoAs4Pb structure.

Values from the calculation:
Crystal system: cubic
N(E_F): 21.2 states/eV/cell
Energy of formation from the pure elements: 0.6253 eV/atom

abc: 7.9656 7.9656 7.9656
angles: 90.00 90.00 90.00
Space group F-43m (No. 216)
Unique sites:
1 Co 0.0000 0.0000 0.0000
2 As 0.1271 0.1271 0.3729
3 Pb 0.2500 0.2500 0.7500

---

No. 3
A plane-wave DFT calculation with GGA-PBE was carried out for a geometry-optimized La2TeBr structure.

Values from the calculation:
Crystal system: tetragonal
N(E_F): 2.3 states/eV/cell
Uncorrected formation energy: -1412 meV per atom
Offset from the most stable computed form: 4 kJ/mol of formula units

abc: 4.3912 4.3912 6.5680
angles: 90.00 90.00 90.00
Space group P4mm (No. 99)
Unique sites:
1 La 0.0000 0.0000 0.0000
2 La 0.5000 0.5000 0.3868
3 Te 0.0000 0.0000 0.4994
4 Br 0.5000 0.5000 0.9105

---

No. 4
A plane-wave DFT calculation with GGA-PBE was carried out for a geometry-optimized Al2FeP structure.

Values from the calculation:
Crystal system: tetragonal
N(E_F): 11.7 states/eV/cell
Energy of formation from the pure elements: 0.1792 eV/atom

abc: 7.0575 7.0575 5.0655
angles: 90.00 90.00 90.00
Space group I-42d (No. 122)
Unique sites:
1 Al 0.2167 0.7500 0.1250
2 Fe 0.0000 0.0000 0.5000
3 P 0.0000 0.0000 0.0000

---

No. 5
A plane-wave DFT calculation with GGA-PBE was carried out for a geometry-optimized SmPHPd structure.

Values from the calculation:
Crystal system: hexagonal
N(E_F): 1.0 states/eV/cell
Raw total energy: -5.62 eV per atom

abc: 4.2355 4.2355 3.9025
angles: 90.00 90.00 120.00
Space group P-6m2 (No. 187)
Unique sites:
1 Sm 0.0000 0.0000 0.0000
2 P 0.3333 0.6667 0.5000
3 H 0.6667 0.3333 0.0000
4 Pd 0.6667 0.3333 0.5000

---

No. 6
A plane-wave DFT calculation with GGA-PBE was carried out for a geometry-optimized Pm3Nd4Dy4 structure.

Values from the calculation:
Crystal system: orthorhombic
N(E_F): 32.0 states/eV/cell
Energy of formation from the pure elements: 0.1278 eV/atom
Offset from the most stable computed form: 0 kJ/mol of formula units

abc: 3.6180 9.5053 22.1669
angles: 90.00 90.00 90.00
Space group Immm (No. 71)
Unique sites:
1 Pm 0.0000 0.0000 0.0000
2 Pm 0.0000 0.5000 0.1080
3 Nd 0.0000 0.3224 0.3543
4 Dy 0.0000 0.0000 0.2596
5 Dy 0.0000 0.1824 0.5000

---

No. 7
A plane-wave DFT calculation with GGA-PBE was carried out for a geometry-optimized PmCoSbRu structure.

Values from the calculation:
Crystal system: cubic
N(E_F): 5.6 states/eV/cell
Uncorrected formation energy: -183 meV per atom

abc: 6.6312 6.6312 6.6312
angles: 90.00 90.00 90.00
Space group F-43m (No. 216)
Unique sites:
1 Pm 0.0000 0.0000 0.0000
2 Co 0.2500 0.2500 0.2500
3 Sb 0.0000 0.0000 0.5000
4 Ru 0.2500 0.2500 0.7500

---

No. 8
A plane-wave DFT calculation with GGA-PBE was carried out for a geometry-optimized CaTa2HgIr structure.

Values from the calculation:
Crystal system: tetragonal
N(E_F): 7.4 states/eV/cell
Energy of formation from the pure elements: 2.5955 eV/atom

abc: 4.6858 4.6858 5.0024
angles: 90.00 90.00 90.00
Space group P4/mmm (No. 123)
Unique sites:
1 Ca 0.0000 0.0000 0.0000
2 Ta 0.0000 0.5000 0.0000
3 Hg 0.0000 0.0000 0.5000
4 Ir 0.5000 0.5000 0.5000

---

No. 9
A plane-wave DFT calculation with GGA-PBE was carried out for a geometry-optimized Na4PaSe5 structure.

Values from the calculation:
Crystal system: tetragonal
N(E_F): 14.9 states/eV/cell
Uncorrected formation energy: -1145 meV per atom

abc: 9.5319 9.5319 5.8672
angles: 90.00 90.00 90.00
Space group I4/m (No. 87)
Unique sites:
1 Na 0.0907 0.3025 0.0000
2 Pa 0.0000 0.0000 0.5000
3 Se 0.0000 0.0000 0.0000
4 Se 0.0874 0.2742 0.5000

---

No. 10
A plane-wave DFT calculation with GGA-PBE was carried out for a geometry-optimized RbNpPtS2 structure.

Values from the calculation:
Crystal system: monoclinic
N(E_F): 15.5 states/eV/cell
Uncorrected formation energy: -995 meV per atom

abc: 7.9652 4.7883 7.5775
angles: 90.00 101.46 90.00
Space group P2/c (No. 13)
Unique sites:
1 Rb 0.0000 0.1878 0.2500
2 Np 0.5000 0.4924 0.7500
3 Pt 0.5000 0.0000 0.0000
4 S 0.2670 0.3084 0.9551

---

No. 11
A plane-wave DFT calculation with GGA-PBE was carried out for a geometry-optimized SrHg2TePd structure.

Values from the calculation:
Crystal system: tetragonal
N(E_F): 1.6 states/eV/cell
Uncorrected formation energy: -478 meV per atom
Offset from the most stable computed form: 0 kJ/mol of formula units

abc: 5.2356 5.2356 5.5938
angles: 90.00 90.00 90.00
Space group P4/mmm (No. 123)
Unique sites:
1 Sr 0.0000 0.0000 0.0000
2 Hg 0.0000 0.5000 0.5000
3 Te 0.5000 0.5000 0.0000
4 Pd 0.5000 0.5000 0.5000

---

No. 12
A plane-wave DFT calculation with GGA-PBE was carried out for a geometry-optimized Al5Ga6 structure.

Values from the calculation:
Crystal system: monoclinic
N(E_F): 7.7 states/eV/cell
Energy of formation from the pure elements: 0.0803 eV/atom
Offset from the most stable computed form: 37 kJ/mol of formula units

abc: 5.9329 9.9580 7.2208
angles: 90.00 106.56 90.00
Space group C2/m (No. 12)
Unique sites:
1 Al 0.0000 0.0000 0.0000
2 Al 0.0000 0.1406 0.5000
3 Al 0.0000 0.2769 0.0000
4 Ga 0.1774 0.3623 0.7038
5 Ga 0.1815 0.5000 0.2155

---

No. 13
A plane-wave DFT calculation with GGA-PBE was carried out for a geometry-optimized CaPm2Mg structure.

Values from the calculation:
Crystal system: tetragonal
N(E_F): 3.9 states/eV/cell
Energy of formation from the pure elements: 0.0030 eV/atom
Offset from the most stable computed form: 0 kJ/mol of formula units

abc: 3.8817 3.8817 8.8739
angles: 90.00 90.00 90.00
Space group P4/mmm (No. 123)
Unique sites:
1 Ca 0.0000 0.0000 0.0000
2 Pm 0.5000 0.5000 0.2940
3 Mg 0.0000 0.0000 0.5000

---

No. 14
A plane-wave DFT calculation with GGA-PBE was carried out for a geometry-optimized Mg3Si4 structure.

Values from the calculation:
Crystal system: triclinic
N(E_F): 3.7 states/eV/cell
Uncorrected formation energy: 74 meV per atom
Offset from the most stable computed form: 15 kJ/mol of formula units

abc: 5.3417 6.8430 7.8969
angles: 104.53 108.44 99.37
Space group P1 (No. 1)
Unique sites:
1 Mg 0.0000 0.0000 0.0000
2 Mg 0.0387 0.7602 0.3299
3 Mg 0.1163 0.2510 0.7406
4 Mg 0.3241 0.7882 0.7524
5 Mg 0.4420 0.4703 0.2802
6 Mg 0.6050 0.0101 0.2567
7 Si 0.1745 0.6398 0.0145
8 Si 0.1958 0.1719 0.3942
9 Si 0.5651 0.1436 0.6575
10 Si 0.5873 0.2202 0.9833
11 Si 0.6084 0.5825 0.9893
12 Si 0.7383 0.8370 0.5872
13 Si 0.7765 0.5282 0.7188
14 Si 0.9695 0.4390 0.4583

---

No. 15
A plane-wave DFT calculation with GGA-PBE was carried out for a geometry-optimized DySc2As structure.

Values from the calculation:
Crystal system: orthorhombic
N(E_F): 22.7 states/eV/cell
Energy of formation from the pure elements: -0.7370 eV/atom
Offset from the most stable computed form: 0 kJ/mol of formula units

abc: 3.9007 11.2495 8.5374
angles: 90.00 90.00 90.00
Space group Cmcm (No. 63)
Unique sites:
1 Dy 0.0000 0.0594 0.2500
2 Sc 0.0000 0.3564 0.0527
3 As 0.0000 0.2385 0.7500

---

No. 16
A plane-wave DFT calculation with GGA-PBE was carried out for a geometry-optimized Cr2AgSe structure.

Values from the calculation:
Crystal system: orthorhombic
N(E_F): 4.5 states/eV/cell
Uncorrected formation energy: 369 meV per atom

abc: 3.3396 3.7823 12.3096
angles: 90.00 90.00 90.00
Space group Imm2 (No. 44)
Unique sites:
1 Cr 0.0000 0.0000 0.0000
2 Cr 0.0000 0.5000 0.2320
3 Ag 0.0000 0.0000 0.4026
4 Se 0.0000 0.5000 0.6601

---

No. 17
A plane-wave DFT calculation with GGA-PBE was carried out for a geometry-optimized AlCuPtRh structure.

Values from the calculation:
Crystal system: cubic
N(E_F): 5.2 states/eV/cell
Energy of formation from the pure elements: -0.6647 eV/atom

abc: 6.0323 6.0323 6.0323
angles: 90.00 90.00 90.00
Space group F-43m (No. 216)
Unique sites:
1 Al 0.0000 0.0000 0.0000
2 Cu 0.0000 0.0000 0.5000
3 Pt 0.2500 0.2500 0.2500
4 Rh 0.2500 0.2500 0.7500

---

No. 18
A plane-wave DFT calculation with GGA-PBE was carried out for a geometry-optimized CoRuPb2 structure.

Values from the calculation:
Crystal system: tetragonal
N(E_F): 20.6 states/eV/cell
Energy of formation from the pure elements: 0.8690 eV/atom
Offset from the most stable computed form: 197 kJ/mol of formula units

abc: 7.1775 7.1775 6.2845
angles: 90.00 90.00 90.00
Space group I-42d (No. 122)
Unique sites:
1 Co 0.0000 0.0000 0.0000
2 Ru 0.0000 0.0000 0.5000
3 Pb 0.2323 0.2500 0.1250

---

No. 19
A plane-wave DFT calculation with GGA-PBE was carried out for a geometry-optimized PmTiIrRh structure.

Values from the calculation:
Crystal system: cubic
N(E_F): 12.7 states/eV/cell
Energy of formation from the pure elements: -0.5150 eV/atom

abc: 6.6443 6.6443 6.6443
angles: 90.00 90.00 90.00
Space group F-43m (No. 216)
Unique sites:
1 Pm 0.0000 0.0000 0.0000
2 Ti 0.0000 0.0000 0.5000
3 Ir 0.2500 0.2500 0.7500
4 Rh 0.2500 0.2500 0.2500

---

No. 20
A plane-wave DFT calculation with GGA-PBE was carried out for a geometry-optimized Tb6Dy3Ho structure.

Values from the calculation:
Crystal system: orthorhombic
N(E_F): 55.6 states/eV/cell
Energy of formation from the pure elements: 0.1482 eV/atom
Offset from the most stable computed form: 24 kJ/mol of formula units

abc: 10.9594 18.9405 6.1832
angles: 90.00 90.00 90.00
Space group Cmc2_1 (No. 36)
Unique sites:
1 Tb 0.0000 0.0454 0.0000
2 Tb 0.0000 0.2798 0.2700
3 Tb 0.1652 0.4543 0.3755
4 Tb 0.2433 0.2900 0.5521
5 Dy 0.0000 0.3890 0.8433
6 Dy 0.1695 0.1104 0.4548
7 Ho 0.0000 0.2043 0.7770

---

No. 21
A plane-wave DFT calculation with GGA-PBE was carried out for a geometry-optimized Tb6Sb5H structure.

Values from the calculation:
Crystal system: monoclinic
N(E_F): 7.9 states/eV/cell
Raw total energy: -5.23 eV per atom

abc: 7.5110 12.9640 7.5285
angles: 90.00 109.45 90.00
Space group C2/m (No. 12)
Unique sites:
1 Tb 0.2495 0.0000 0.2559
2 Tb 0.2504 0.1671 0.7517
3 Sb 0.0000 0.0000 0.5000
4 Sb 0.0000 0.1659 0.0000
5 Sb 0.0000 0.3315 0.5000
6 H 0.0000 0.5000 0.0000

---

No. 22
A plane-wave DFT calculation with GGA-PBE was carried out for a geometry-optimized ZrGaNiIr structure.

Values from the calculation:
Crystal system: cubic
N(E_F): 8.4 states/eV/cell
Energy of formation from the pure elements: -0.6025 eV/atom
Offset from the most stable computed form: 3 kJ/mol of formula units

abc: 6.2868 6.2868 6.2868
angles: 90.00 90.00 90.00
Space group F-43m (No. 216)
Unique sites:
1 Zr 0.0000 0.0000 0.0000
2 Ga 0.0000 0.0000 0.5000
3 Ni 0.2500 0.2500 0.2500
4 Ir 0.2500 0.2500 0.7500

---

No. 23
A plane-wave DFT calculation with GGA-PBE was carried out for a geometry-optimized Ti6CuPt5 structure.

Values from the calculation:
Crystal system: monoclinic
N(E_F): 28.8 states/eV/cell
Energy of formation from the pure elements: -0.7747 eV/atom

abc: 13.6729 5.6349 4.7940
angles: 90.00 91.19 90.00
Space group C2/m (No. 12)
Unique sites:
1 Ti 0.0000 0.2497 0.0000
2 Ti 0.1666 0.2499 0.6646
3 Cu 0.0000 0.0000 0.5000
4 Pt 0.0000 0.5000 0.5000
5 Pt 0.1629 0.0000 0.1671
6 Pt 0.1663 0.5000 0.1671

---

No. 24
A plane-wave DFT calculation with GGA-PBE was carried out for a geometry-optimized GaPSe2Br structure.

Values from the calculation:
Crystal system: tetragonal
N(E_F): 3.7 states/eV/cell
Uncorrected formation energy: 167 meV per atom
Offset from the most stable computed form: 0 kJ/mol of formula units

abc: 4.8492 4.8492 5.4083
angles: 90.00 90.00 90.00
Space group P4/mmm (No. 123)
Unique sites:
1 Ga 0.0000 0.0000 0.0000
2 P 0.5000 0.5000 0.5000
3 Se 0.0000 0.5000 0.5000
4 Br 0.5000 0.5000 0.0000

---

No. 25
A plane-wave DFT calculation with GGA-PBE was carried out for a geometry-optimized Tb2DyTc structure.

Values from the calculation:
Crystal system: tetragonal
N(E_F): 6.3 states/eV/cell
Energy of formation from the pure elements: 0.0466 eV/atom
Offset from the most stable computed form: 53 kJ/mol of formula units

abc: 3.4676 3.4676 8.8621
angles: 90.00 90.00 90.00
Space group P4/mmm (No. 123)
Unique sites:
1 Tb 0.0000 0.0000 0.1868
2 Dy 0.5000 0.5000 0.5000
3 Tc 0.5000 0.5000 0.0000